1.
This record from Alexandria describes a relaxed structure of CePrInGa. The functional is PBE.

Results
* energy relative to the lowest polymorph listed for this composition: 0.176 eV per formula unit
* ΔE_f: -0.4125 eV/atom
* total magnetization: 0.229 μB per atom

Unit cell a=7.593 b=7.593 c=7.593 alpha=90.00 beta=90.00 gamma=90.00
Space group F-43m (No. 216)
Symmetry-distinct sites (fractional):
Ce: 0.000 0.000 0.000 [4 per cell]
Pr: 0.000 0.000 0.500 [4 per cell]
In: 0.250 0.250 0.250 [4 per cell]
Ga: 0.250 0.250 0.750 [4 per cell]


2.
This record from Alexandria describes a relaxed structure of ReSiPb. The functional is PBE.

Results
* energy relative to the lowest polymorph listed for this composition: 0.820 eV per formula unit
* formation energy without anion corrections: 704 meV per atom
* total magnetization: 0.000 μB per atom

Unit cell a=3.440 b=4.998 c=13.802 alpha=90.00 beta=90.00 gamma=90.00
Space group Fmm2 (No. 42)
Symmetry-distinct sites (fractional):
Re: 0.000 0.000 0.000 [4 per cell]
Si: 0.000 0.000 0.380 [4 per cell]
Pb: 0.000 0.000 0.677 [4 per cell]


3.
This record from Alexandria describes a relaxed structure of Sr2InGe4Pd3. The functional is PBE.

Results
* ΔE_f: -0.6025 eV/atom
* total magnetization: 0.000 μB per atom

Unit cell a=4.397 b=4.397 c=10.981 alpha=90.00 beta=90.00 gamma=90.00
Space group P-4m2 (No. 115)
Symmetry-distinct sites (fractional):
Sr: 0.000 0.500 0.241 [2 per cell]
In: 0.000 0.000 0.500 [1 per cell]
Ge: 0.000 0.000 0.000 [1 per cell]
Ge: 0.000 0.500 0.650 [2 per cell]
Ge: 0.500 0.500 0.000 [1 per cell]
Pd: 0.000 0.500 0.878 [2 per cell]
Pd: 0.500 0.500 0.500 [1 per cell]


4.
This record from Alexandria describes a relaxed structure of Al3Cu2Ni3. The functional is PBE.

Results
* energy relative to the lowest polymorph listed for this composition: 0.678 eV per formula unit
* ΔE_f: -0.3177 eV/atom
* total magnetization: 0.000 μB per atom

Unit cell a=7.0818 b=7.0818 c=4.7161 alpha=90.00 beta=90.00 gamma=120.00
Space group P6_3/mcm (No. 193)
Symmetry-distinct sites (fractional):
Al: 0.0000 0.2581 0.2500 [6 per cell]
Cu: 0.3333 0.6667 0.0000 [4 per cell]
Ni: 0.0000 0.3863 0.7500 [6 per cell]